(1)
AgMoPd2, relaxed, DFT GGA-PBE; E_form = 268.9 meV per atom; total DFT energy (no corrections) = -22.992 eV per formula unit; DOS at the Fermi energy = 4.84 states/eV/f.u.; relative energy among the computed polymorphs = 324.5 meV per atom; total magnetic moment = 0.0 μB per formula unit
1.0
0.000 3.177 3.177
3.177 0.000 3.177
3.177 3.177 0.000
Ag Mo Pd
1 1 2
Direct
0.000 0.000 0.000 Ag
0.500 0.500 0.500 Mo
0.250 0.250 0.250 Pd
0.750 0.750 0.750 Pd

***

(2)
AlBr2N, relaxed, DFT GGA-PBE; total DFT energy (no corrections) = -11.919 eV per formula unit; DOS at the Fermi energy = 1.66 states/eV/f.u.; energy relative to the elements, uncorrected = 0.874 eV per atom; relative energy among the computed polymorphs = 907.9 meV per atom; total magnetic moment = 2.2 μB per formula unit
1.0
1.948 1.125 9.474
-1.948 1.125 9.474
0.000 -2.249 9.474
Al Br N
1 2 1
Direct
0.000 0.000 0.000 Al
0.388 0.388 0.388 Br
0.612 0.612 0.612 Br
0.500 0.500 0.500 N

***

(3)
ZrCdSe2, relaxed, DFT GGA-PBE; total DFT energy (no corrections) = -20.098 eV per formula unit; DOS at the Fermi energy = 0.82 states/eV/f.u.; energy relative to the elements, uncorrected = -0.916 eV per atom; total magnetic moment = 0.0 μB per formula unit
1.0
3.232 -1.862 0.000
3.232 1.862 0.000
-1.982 0.000 8.660
Zr Cd Se
1 1 2
Direct
0.000 0.000 0.000 Zr
0.500 0.500 0.500 Cd
0.274 0.274 0.809 Se
0.726 0.726 0.191 Se

***

(4)
KMo6Se8, relaxed, DFT GGA-PBE; total DFT energy (no corrections) = -103.226 eV per formula unit; DOS at the Fermi energy = 7.39 states/eV/f.u.; energy relative to the elements, uncorrected = -0.618 eV per atom; total magnetic moment = 0.0 μB per formula unit
1.0
4.877 2.816 4.097
-4.877 2.816 4.097
0.000 -5.632 4.097
K Mo Se
1 6 8
Direct
0.000 0.000 0.000 K
0.244 0.419 0.562 Mo
0.419 0.562 0.244 Mo
0.438 0.756 0.581 Mo
0.562 0.244 0.419 Mo
0.581 0.438 0.756 Mo
0.756 0.581 0.438 Mo
0.120 0.738 0.394 Se
0.247 0.247 0.247 Se
0.262 0.606 0.880 Se
0.394 0.120 0.738 Se
0.606 0.880 0.262 Se
0.738 0.394 0.120 Se
0.753 0.753 0.753 Se
0.880 0.262 0.606 Se